The following is a DFT calculation (PBE with a Hubbard U) of a geometry-optimized CsVFeF6 structure.

a b c (Å): 5.529 5.492 6.501
angles (deg): 90.03 89.55 59.52
Fractional positions:
Cs1 0.994 0.999 0.000
V1 0.668 0.662 0.500
Fe1 0.328 0.335 0.500
F1 0.989 0.397 0.325
F2 0.395 0.979 0.676
F3 0.625 0.384 0.665
F4 0.989 0.621 0.671
F5 0.387 0.634 0.329
F6 0.625 0.989 0.335

Values from the calculation:
ΔE to the lowest computed polymorph   121 meV per atom
Total DFT energy (no corrections)   -5.3912 eV/atom
Crystal system   triclinic